1.
The following is a PBE-GGA calculation of a geometry-optimized Pm2Dy4Mg5 structure, from the Alexandria database.

Formation energy from the elements   0.204 eV per atom
Spin magnetization   0.00 μB per cell
E   -3.0583 eV per atom

Cell: 6.2309 5.9615 11.4505 Å, 81.83 74.21 58.49°
Sites, in units of the cell vectors:
Mg: 0.0000 0.5000 0.0000
Mg: 0.7500 0.5000 0.5000
Mg: 0.2500 0.5000 0.5000
Mg: 0.5000 0.0000 0.0000
Mg: 0.5000 0.5000 0.0000
Dy: 0.5407 0.6663 0.2523
Dy: 0.2070 0.3337 0.2523
Dy: 0.4593 0.3337 0.7477
Dy: 0.7930 0.6663 0.7477
Pm: 0.1167 0.0000 0.7665
Pm: 0.8833 0.0000 0.2335

2.
The following is a PBE-GGA calculation of a geometry-optimized PmDyMg structure, from the Alexandria database.

Formation energy from the elements   0.021 eV per atom
Spin magnetization   0.00 μB per cell
E   -3.6281 eV per atom

Cell: 5.4589 3.4499 10.1461 Å, 70.32 90.00 90.00°
Sites, in units of the cell vectors:
Mg: 0.4761 0.5640 0.2451
Mg: 0.9772 0.7194 0.0834
Dy: 0.9768 0.9037 0.4012
Dy: 0.4772 0.3806 0.9271
Pm: 0.4771 0.2179 0.5846
Pm: 0.9772 0.0667 0.7438

3.
The following is a PBE-GGA calculation of a geometry-optimized Pm3DyMg structure, from the Alexandria database.

Formation energy from the elements   0.062 eV per atom
Spin magnetization   0.00 μB per cell
E   -4.0275 eV per atom

Cell: 3.5368 8.5657 11.4429 Å, 108.20 98.89 90.00°
Sites, in units of the cell vectors:
Pm: 0.6208 0.0372 0.2415
Pm: 0.3792 0.9628 0.7585
Pm: 0.8238 0.5591 0.6477
Pm: 0.0172 0.2232 0.0343
Pm: 0.1762 0.4409 0.3523
Pm: 0.9828 0.7768 0.9657
Mg: 0.4242 0.4014 0.8484
Mg: 0.5758 0.5986 0.1516
Dy: 0.2657 0.1811 0.5313
Dy: 0.7343 0.8189 0.4687

4.
The following is a PBE-GGA calculation of a geometry-optimized Pm4Dy15Mg structure, from the Alexandria database.

Formation energy from the elements   0.020 eV per atom
Spin magnetization   0.00 μB per cell
E   -4.4614 eV per atom

Cell: 5.0196 5.0196 25.1184 Å, 90.00 90.00 90.00°
Sites, in units of the cell vectors:
Dy: 0.0000 0.5000 0.7018
Dy: 0.5000 0.0000 0.7018
Dy: 0.5000 0.5000 0.6012
Dy: 0.0000 0.5000 0.5000
Dy: 0.5000 0.5000 0.1958
Dy: 0.5000 0.0000 0.5000
Dy: 0.5000 0.0000 0.9028
Dy: 0.5000 0.0000 0.2982
Dy: 0.5000 0.5000 0.3988
Dy: 0.5000 0.0000 0.0972
Dy: 0.0000 0.5000 0.9028
Dy: 0.0000 0.5000 0.0972
Dy: 0.5000 0.5000 0.8042
Dy: 0.0000 0.5000 0.2982
Dy: 0.5000 0.5000 0.0000
Mg: 0.0000 0.0000 0.0000
Pm: 0.0000 0.0000 0.1976
Pm: 0.0000 0.0000 0.6009
Pm: 0.0000 0.0000 0.8024
Pm: 0.0000 0.0000 0.3991

5.
The following is a PBE-GGA calculation of a geometry-optimized Pm2DyMg structure, from the Alexandria database.

Formation energy from the elements   0.089 eV per atom
Spin magnetization   0.00 μB per cell
E   -3.8355 eV per atom

Cell: 3.5355 3.4828 10.4269 Å, 99.61 90.00 90.00°
Sites, in units of the cell vectors:
Mg: 0.0000 0.0711 0.1422
Pm: 0.5000 0.6864 0.3729
Pm: 0.5000 0.4581 0.9162
Dy: 0.0000 0.3098 0.6196

6.
The following is a PBE-GGA calculation of a geometry-optimized Pm5Dy8Mg structure, from the Alexandria database.

Formation energy from the elements   0.225 eV per atom
Spin magnetization   0.00 μB per cell
E   -4.2156 eV per atom

Cell: 8.4488 8.4488 8.4488 Å, 110.45 107.54 110.45°
Sites, in units of the cell vectors:
Dy: 0.5618 0.9031 0.8323
Dy: 0.1677 0.7295 0.0708
Dy: 0.5233 0.6039 0.2659
Dy: 0.6621 0.3961 0.9194
Dy: 0.3413 0.2705 0.4382
Dy: 0.7341 0.2573 0.3379
Dy: 0.0806 0.7427 0.4767
Dy: 0.9292 0.0969 0.6587
Pm: 0.0240 0.3150 0.1324
Pm: 0.5000 0.0000 0.5000
Pm: 0.2911 0.1084 0.9760
Pm: 0.8174 0.6850 0.7089
Pm: 0.8676 0.8916 0.1826
Mg: 0.2500 0.5000 0.7500

7.
The following is a PBE-GGA calculation of a geometry-optimized Pm3DyMg structure, from the Alexandria database.

Formation energy from the elements   0.178 eV per atom
Spin magnetization   0.00 μB per cell
E   -3.9121 eV per atom

Cell: 3.7945 9.9061 9.2593 Å, 90.00 90.00 101.07°
Sites, in units of the cell vectors:
Mg: 0.3292 0.1586 0.7500
Mg: 0.6708 0.8414 0.2500
Pm: 0.3080 0.1147 0.2500
Pm: 0.9066 0.3129 0.5052
Pm: 0.9066 0.3129 0.9948
Pm: 0.0934 0.6871 0.0052
Pm: 0.6920 0.8853 0.7500
Pm: 0.0934 0.6871 0.4948
Dy: 0.5071 0.5142 0.7500
Dy: 0.4929 0.4858 0.2500

8.
The following is a PBE-GGA calculation of a geometry-optimized Pm2DyMg2 structure, from the Alexandria database.

Formation energy from the elements   0.044 eV per atom
Spin magnetization   0.00 μB per cell
E   -3.4150 eV per atom

Cell: 5.2490 6.0153 6.0153 Å, 71.53 64.13 64.13°
Sites, in units of the cell vectors:
Pm: 0.8052 0.6948 0.6948
Pm: 0.1948 0.3052 0.3052
Mg: 0.5000 0.2916 0.7084
Mg: 0.5000 0.7084 0.2916
Dy: 0.0000 0.0000 0.0000

9.
The following is a PBE-GGA calculation of a geometry-optimized Pm3DyMg3 structure, from the Alexandria database.

Formation energy from the elements   0.069 eV per atom
Spin magnetization   0.00 μB per cell
E   -3.3082 eV per atom

Cell: 7.8273 7.8273 7.0537 Å, 90.02 90.02 92.93°
Sites, in units of the cell vectors:
Mg: 0.7436 0.2564 0.0000
Mg: 0.7236 0.7236 0.5000
Mg: 0.2764 0.2764 0.5000
Mg: 0.6743 0.3257 0.5000
Mg: 0.3257 0.6743 0.5000
Mg: 0.2564 0.7436 0.0000
Pm: 0.0000 0.0000 0.7538
Pm: 0.0001 0.4998 0.7461
Pm: 0.4998 0.0001 0.7461
Pm: 0.0000 0.0000 0.2462
Pm: 0.5002 0.9999 0.2539
Pm: 0.9999 0.5002 0.2539
Dy: 0.3128 0.3128 0.0004
Dy: 0.6872 0.6872 0.9996

10.
The following is a PBE-GGA calculation of a geometry-optimized PmDy4Mg structure, from the Alexandria database.

Formation energy from the elements   0.019 eV per atom
Spin magnetization   0.00 μB per cell
E   -4.1065 eV per atom

Cell: 5.4552 11.1593 6.6390 Å, 90.00 114.26 90.00°
Sites, in units of the cell vectors:
Dy: 0.0200 0.7014 0.0400
Dy: 0.5022 0.9444 0.0044
Dy: 0.9800 0.2014 0.9600
Dy: 0.3192 0.6986 0.6384
Dy: 0.6808 0.1986 0.3616
Dy: 0.1733 0.9775 0.3467
Dy: 0.4978 0.4444 0.9956
Dy: 0.8267 0.4775 0.6533
Mg: 0.6528 0.6936 0.3056
Mg: 0.3472 0.1936 0.6944
Pm: 0.8226 0.9178 0.6451
Pm: 0.1774 0.4178 0.3549

11.
The following is a PBE-GGA calculation of a geometry-optimized Pm3DyMg6 structure, from the Alexandria database.

Formation energy from the elements   -0.078 eV per atom
Spin magnetization   0.00 μB per cell
E   -2.9197 eV per atom

Cell: 5.3150 9.4011 11.3676 Å, 105.38 90.00 90.00°
Sites, in units of the cell vectors:
Mg: 0.2500 0.1451 0.1923
Mg: 0.2500 0.2375 0.4864
Mg: 0.7500 0.9544 0.1026
Mg: 0.7500 0.5604 0.9021
Mg: 0.7500 0.3325 0.2925
Mg: 0.2500 0.8625 0.3045
Mg: 0.2500 0.0456 0.8974
Mg: 0.7500 0.1375 0.6955
Mg: 0.2500 0.6675 0.7075
Mg: 0.2500 0.4396 0.0979
Mg: 0.7500 0.7625 0.5136
Mg: 0.7500 0.8549 0.8077
Dy: 0.2500 0.9504 0.6012
Dy: 0.7500 0.0496 0.3988
Pm: 0.2500 0.5383 0.3955
Pm: 0.7500 0.4617 0.6045
Pm: 0.7500 0.2460 0.9944
Pm: 0.2500 0.7540 0.0056
Pm: 0.2500 0.3506 0.7911
Pm: 0.7500 0.6494 0.2089

12.
The following is a PBE-GGA calculation of a geometry-optimized PmPr6Dy2Mg structure, from the Alexandria database.

Formation energy from the elements   0.102 eV per atom
Spin magnetization   0.00 μB per cell
E   -4.3208 eV per atom

Cell: 9.5449 8.6952 8.6952 Å, 105.73 96.20 96.20°
Sites, in units of the cell vectors:
Dy: 0.9059 0.7324 0.7999
Dy: 0.0941 0.2676 0.2001
Dy: 0.5941 0.2001 0.2676
Dy: 0.4059 0.7999 0.7324
Pr: 0.1721 0.5398 0.9666
Pr: 0.6721 0.9666 0.5398
Pr: 0.9244 0.9207 0.2590
Pr: 0.8279 0.4602 0.0334
Pr: 0.4038 0.5616 0.3276
Pr: 0.0756 0.0793 0.7410
Pr: 0.0962 0.6724 0.4384
Pr: 0.9038 0.3276 0.5616
Pr: 0.5962 0.4384 0.6724
Pr: 0.5756 0.7410 0.0793
Pr: 0.3279 0.0334 0.4602
Pr: 0.4244 0.2590 0.9207
Mg: 0.2500 0.4022 0.5978
Mg: 0.7500 0.5978 0.4022
Pm: 0.7500 0.0641 0.9359
Pm: 0.2500 0.9359 0.0641